(1)
# Na3TlBr | Alexandria via LeMat-Bulk | GGA-PBE | optimized geometry
data_Na3TlBr
_cell_length_a 5.616
_cell_length_b 5.616
_cell_length_c 5.616
_cell_angle_alpha 90.00
_cell_angle_beta 90.00
_cell_angle_gamma 90.00
_symmetry_space_group_name_H-M 'P 1'
_symmetry_Int_Tables_number 1
_symmetry_space_group_name_Hall 'P 1'
loop_
_atom_site_label
_atom_site_type_symbol
_atom_site_fract_x
_atom_site_fract_y
_atom_site_fract_z
_atom_site_occupancy
Na1 Na 0.000 0.000 0.500 1
Na2 Na 0.500 0.000 0.000 1
Na3 Na 0.000 0.500 0.000 1
Tl1 Tl 0.500 0.500 0.500 1
Br1 Br 0.000 0.000 0.000 1
# Electronic total energy, eV for the cell shown: -10.26
# Crystal system: cubic
# ΔE_f (raw), eV/atom: -0.453
# Symmetry: Pm-3m

(2)
# NaTlBr2 | Alexandria via LeMat-Bulk | GGA-PBE | optimized geometry
data_NaTlBr2
_cell_length_a 3.866
_cell_length_b 3.866
_cell_length_c 7.885
_cell_angle_alpha 90.00
_cell_angle_beta 90.00
_cell_angle_gamma 90.00
_symmetry_space_group_name_H-M 'P 1'
_symmetry_Int_Tables_number 1
_symmetry_space_group_name_Hall 'P 1'
loop_
_atom_site_label
_atom_site_type_symbol
_atom_site_fract_x
_atom_site_fract_y
_atom_site_fract_z
_atom_site_occupancy
Br1 Br 0.000 0.000 0.230 1
Br2 Br 0.000 0.000 0.770 1
Na1 Na 0.500 0.500 0.000 1
Tl1 Tl 0.500 0.500 0.500 1
# Electronic total energy, eV for the cell shown: -11.45
# Crystal system: tetragonal
# ΔE_f (raw), eV/atom: -1.104
# Symmetry: P4/mmm

(3)
# NaTl4Br5 | Alexandria via LeMat-Bulk | GGA-PBE | optimized geometry
data_NaTl4Br5
_cell_length_a 4.597
_cell_length_b 6.643
_cell_length_c 12.512
_cell_angle_alpha 105.39
_cell_angle_beta 100.58
_cell_angle_gamma 90.00
_symmetry_space_group_name_H-M 'P 1'
_symmetry_Int_Tables_number 1
_symmetry_space_group_name_Hall 'P 1'
loop_
_atom_site_label
_atom_site_type_symbol
_atom_site_fract_x
_atom_site_fract_y
_atom_site_fract_z
_atom_site_occupancy
Br1 Br 0.795 0.295 0.590 1
Br2 Br 0.000 0.500 0.000 1
Br3 Br 0.585 0.085 0.171 1
Br4 Br 0.205 0.705 0.410 1
Br5 Br 0.415 0.915 0.829 1
Tl1 Tl 0.194 0.194 0.389 1
Tl2 Tl 0.806 0.806 0.611 1
Tl3 Tl 0.599 0.599 0.197 1
Tl4 Tl 0.401 0.401 0.803 1
Na1 Na 0.000 0.000 0.000 1
# Electronic total energy, eV for the cell shown: -29.06
# Crystal system: orthorhombic
# ΔE_f (raw), eV/atom: -0.991
# Symmetry: Immm

(4)
# Na12Tl3Br5 | Alexandria via LeMat-Bulk | GGA-PBE | optimized geometry
data_Na12Tl3Br5
_cell_length_a 15.532
_cell_length_b 15.532
_cell_length_c 15.532
_cell_angle_alpha 109.47
_cell_angle_beta 109.47
_cell_angle_gamma 109.47
_symmetry_space_group_name_H-M 'P 1'
_symmetry_Int_Tables_number 1
_symmetry_space_group_name_Hall 'P 1'
loop_
_atom_site_label
_atom_site_type_symbol
_atom_site_fract_x
_atom_site_fract_y
_atom_site_fract_z
_atom_site_occupancy
Tl1 Tl 0.750 0.375 0.125 1
Tl2 Tl 0.250 0.625 0.875 1
Tl3 Tl 0.125 0.250 0.875 1
Tl4 Tl 0.750 0.875 0.625 1
Tl5 Tl 0.875 0.750 0.125 1
Tl6 Tl 0.375 0.625 0.250 1
Tl7 Tl 0.625 0.250 0.375 1
Tl8 Tl 0.375 0.750 0.625 1
Tl9 Tl 0.250 0.125 0.375 1
Tl10 Tl 0.875 0.125 0.250 1
Tl11 Tl 0.125 0.875 0.750 1
Tl12 Tl 0.625 0.375 0.750 1
Br1 Br 0.125 0.750 0.375 1
Br2 Br 0.250 0.875 0.125 1
Br3 Br 0.500 0.000 0.500 1
Br4 Br 0.625 0.875 0.250 1
Br5 Br 0.000 0.000 0.000 1
Br6 Br 0.625 0.750 0.875 1
Br7 Br 0.375 0.125 0.750 1
Br8 Br 0.750 0.625 0.375 1
Br9 Br 0.875 0.250 0.625 1
Br10 Br 0.750 0.125 0.875 1
Br11 Br 0.875 0.625 0.750 1
Br12 Br 0.500 0.000 0.000 1
Br13 Br 0.500 0.500 0.000 1
Br14 Br 0.250 0.375 0.625 1
Br15 Br 0.500 0.500 0.500 1
Br16 Br 0.125 0.375 0.250 1
Br17 Br 0.000 0.000 0.500 1
Br18 Br 0.000 0.500 0.500 1
Br19 Br 0.375 0.250 0.125 1
Br20 Br 0.000 0.500 0.000 1
Na1 Na 0.780 0.326 0.907 1
Na2 Na 0.907 0.080 0.627 1
Na3 Na 0.547 0.326 0.920 1
Na4 Na 0.407 0.280 0.326 1
Na5 Na 0.907 0.826 0.780 1
Na6 Na 0.093 0.920 0.373 1
Na7 Na 0.280 0.407 0.826 1
Na8 Na 0.093 0.174 0.220 1
Na9 Na 0.420 0.373 0.593 1
Na10 Na 0.873 0.280 0.453 1
Na11 Na 0.547 0.220 0.127 1
Na12 Na 0.373 0.420 0.093 1
Na13 Na 0.953 0.580 0.174 1
Na14 Na 0.373 0.953 0.780 1
Na15 Na 0.047 0.627 0.720 1
Na16 Na 0.580 0.953 0.674 1
Na17 Na 0.174 0.080 0.953 1
Na18 Na 0.720 0.593 0.174 1
Na19 Na 0.326 0.780 0.407 1
Na20 Na 0.453 0.780 0.873 1
Na21 Na 0.627 0.580 0.907 1
Na22 Na 0.127 0.407 0.080 1
Na23 Na 0.873 0.593 0.920 1
Na24 Na 0.593 0.873 0.420 1
Na25 Na 0.220 0.547 0.627 1
Na26 Na 0.627 0.047 0.220 1
Na27 Na 0.127 0.720 0.547 1
Na28 Na 0.720 0.127 0.047 1
Na29 Na 0.580 0.627 0.407 1
Na30 Na 0.920 0.826 0.547 1
Na31 Na 0.280 0.873 0.953 1
Na32 Na 0.826 0.907 0.280 1
Na33 Na 0.080 0.174 0.453 1
Na34 Na 0.326 0.547 0.420 1
Na35 Na 0.420 0.047 0.326 1
Na36 Na 0.047 0.420 0.826 1
Na37 Na 0.407 0.127 0.580 1
Na38 Na 0.920 0.093 0.873 1
Na39 Na 0.674 0.453 0.580 1
Na40 Na 0.593 0.720 0.674 1
Na41 Na 0.826 0.920 0.047 1
Na42 Na 0.220 0.674 0.093 1
Na43 Na 0.453 0.674 0.080 1
Na44 Na 0.674 0.220 0.593 1
Na45 Na 0.080 0.907 0.127 1
Na46 Na 0.953 0.373 0.280 1
Na47 Na 0.174 0.093 0.720 1
Na48 Na 0.780 0.453 0.373 1
# Electronic total energy, eV for the cell shown: -176.54
# Crystal system: cubic
# ΔE_f (raw), eV/atom: -0.642
# Symmetry: Ia-3d

(5)
# NaTl2Br2 | Alexandria via LeMat-Bulk | GGA-PBE | optimized geometry
data_NaTl2Br2
_cell_length_a 7.775
_cell_length_b 7.775
_cell_length_c 5.424
_cell_angle_alpha 90.00
_cell_angle_beta 90.00
_cell_angle_gamma 90.00
_symmetry_space_group_name_H-M 'P 1'
_symmetry_Int_Tables_number 1
_symmetry_space_group_name_Hall 'P 1'
loop_
_atom_site_label
_atom_site_type_symbol
_atom_site_fract_x
_atom_site_fract_y
_atom_site_fract_z
_atom_site_occupancy
Br1 Br 0.327 0.827 0.000 1
Br2 Br 0.673 0.173 0.000 1
Br3 Br 0.827 0.673 0.000 1
Br4 Br 0.173 0.327 0.000 1
Na1 Na 0.500 0.500 0.000 1
Na2 Na 0.000 0.000 0.000 1
Tl1 Tl 0.659 0.841 0.500 1
Tl2 Tl 0.341 0.159 0.500 1
Tl3 Tl 0.841 0.341 0.500 1
Tl4 Tl 0.159 0.659 0.500 1
# Electronic total energy, eV for the cell shown: -26.18
# Crystal system: tetragonal
# ΔE_f (raw), eV/atom: -0.738
# Symmetry: P4/mbm

(6)
# NaTl5Br6 | Alexandria via LeMat-Bulk | GGA-PBE | optimized geometry
data_NaTl5Br6
_cell_length_a 8.104
_cell_length_b 8.153
_cell_length_c 8.117
_cell_angle_alpha 59.85
_cell_angle_beta 80.36
_cell_angle_gamma 70.53
_symmetry_space_group_name_H-M 'P 1'
_symmetry_Int_Tables_number 1
_symmetry_space_group_name_Hall 'P 1'
loop_
_atom_site_label
_atom_site_type_symbol
_atom_site_fract_x
_atom_site_fract_y
_atom_site_fract_z
_atom_site_occupancy
Tl1 Tl 0.500 0.500 0.000 1
Tl2 Tl 0.500 0.169 0.662 1
Tl3 Tl 0.500 0.831 0.338 1
Tl4 Tl 0.000 0.666 0.667 1
Tl5 Tl 0.000 0.334 0.333 1
Br1 Br 0.233 0.923 0.690 1
Br2 Br 0.247 0.230 0.000 1
Br3 Br 0.767 0.387 0.690 1
Br4 Br 0.753 0.770 0.000 1
Br5 Br 0.767 0.077 0.310 1
Br6 Br 0.233 0.613 0.310 1
Na1 Na 0.000 0.000 0.000 1
# Electronic total energy, eV for the cell shown: -34.84
# Crystal system: monoclinic
# ΔE_f (raw), eV/atom: -0.971
# Symmetry: C2/m

(7)
# Na4Tl3Br8 | Alexandria via LeMat-Bulk | GGA-PBE | optimized geometry
data_Na4Tl3Br8
_cell_length_a 8.794
_cell_length_b 8.909
_cell_length_c 8.909
_cell_angle_alpha 88.28
_cell_angle_beta 120.63
_cell_angle_gamma 120.63
_symmetry_space_group_name_H-M 'P 1'
_symmetry_Int_Tables_number 1
_symmetry_space_group_name_Hall 'P 1'
loop_
_atom_site_label
_atom_site_type_symbol
_atom_site_fract_x
_atom_site_fract_y
_atom_site_fract_z
_atom_site_occupancy
Na1 Na 0.000 0.500 0.000 1
Na2 Na 0.000 0.000 0.000 1
Na3 Na 0.000 0.000 0.500 1
Na4 Na 0.500 0.000 0.000 1
Br1 Br 0.490 0.235 0.235 1
Br2 Br 0.510 0.765 0.765 1
Br3 Br 0.022 0.779 0.779 1
Br4 Br 0.500 0.238 0.762 1
Br5 Br 0.500 0.762 0.238 1
Br6 Br 0.000 0.246 0.754 1
Br7 Br 0.978 0.221 0.221 1
Br8 Br 0.000 0.754 0.246 1
Tl1 Tl 0.500 0.500 0.000 1
Tl2 Tl 0.500 0.500 0.500 1
Tl3 Tl 0.500 0.000 0.500 1
# Electronic total energy, eV for the cell shown: -42.99
# Crystal system: monoclinic
# ΔE_f (raw), eV/atom: -1.149
# Symmetry: C2/m

(8)
# NaTl3Br | Alexandria via LeMat-Bulk | GGA-PBE | optimized geometry
data_NaTl3Br
_cell_length_a 6.122
_cell_length_b 6.122
_cell_length_c 6.122
_cell_angle_alpha 90.00
_cell_angle_beta 90.00
_cell_angle_gamma 90.00
_symmetry_space_group_name_H-M 'P 1'
_symmetry_Int_Tables_number 1
_symmetry_space_group_name_Hall 'P 1'
loop_
_atom_site_label
_atom_site_type_symbol
_atom_site_fract_x
_atom_site_fract_y
_atom_site_fract_z
_atom_site_occupancy
Br1 Br 0.000 0.000 0.000 1
Tl1 Tl 0.000 0.500 0.000 1
Tl2 Tl 0.500 0.000 0.000 1
Tl3 Tl 0.000 0.000 0.500 1
Na1 Na 0.500 0.500 0.500 1
# Electronic total energy, eV for the cell shown: -10.35
# Crystal system: cubic
# ΔE_f (raw), eV/atom: -0.052
# Symmetry: Pm-3m

(9)
# Na2TlBr4 | Alexandria via LeMat-Bulk | GGA-PBE | optimized geometry
data_Na2TlBr4
_cell_length_a 4.262
_cell_length_b 7.761
_cell_length_c 13.269
_cell_angle_alpha 90.00
_cell_angle_beta 90.00
_cell_angle_gamma 90.00
_symmetry_space_group_name_H-M 'P 1'
_symmetry_Int_Tables_number 1
_symmetry_space_group_name_Hall 'P 1'
loop_
_atom_site_label
_atom_site_type_symbol
_atom_site_fract_x
_atom_site_fract_y
_atom_site_fract_z
_atom_site_occupancy
Tl1 Tl 0.000 0.500 0.000 1
Tl2 Tl 0.000 0.000 0.500 1
Br1 Br 0.000 0.883 0.282 1
Br2 Br 0.500 0.773 0.031 1
Br3 Br 0.500 0.273 0.469 1
Br4 Br 0.500 0.727 0.531 1
Br5 Br 0.500 0.227 0.969 1
Br6 Br 0.000 0.617 0.782 1
Br7 Br 0.000 0.117 0.718 1
Br8 Br 0.000 0.383 0.218 1
Na1 Na 0.500 0.603 0.314 1
Na2 Na 0.500 0.897 0.814 1
Na3 Na 0.500 0.103 0.186 1
Na4 Na 0.500 0.397 0.686 1
# Electronic total energy, eV for the cell shown: -38.61
# Crystal system: orthorhombic
# ΔE_f (raw), eV/atom: -1.087
# Symmetry: Pbam

(10)
# NaTlBr2 | Alexandria via LeMat-Bulk | GGA-PBE | optimized geometry
data_NaTlBr2
_cell_length_a 5.542
_cell_length_b 5.542
_cell_length_c 5.542
_cell_angle_alpha 60.00
_cell_angle_beta 60.00
_cell_angle_gamma 60.00
_symmetry_space_group_name_H-M 'P 1'
_symmetry_Int_Tables_number 1
_symmetry_space_group_name_Hall 'P 1'
loop_
_atom_site_label
_atom_site_type_symbol
_atom_site_fract_x
_atom_site_fract_y
_atom_site_fract_z
_atom_site_occupancy
Na1 Na 0.000 0.000 0.000 1
Tl1 Tl 0.500 0.500 0.500 1
Br1 Br 0.250 0.250 0.250 1
Br2 Br 0.750 0.750 0.750 1
# Electronic total energy, eV for the cell shown: -11.37
# Crystal system: cubic
# ΔE_f (raw), eV/atom: -1.085
# Symmetry: Fm-3m

(11)
# Na3TlBr6 | Alexandria via LeMat-Bulk | GGA-PBE | optimized geometry
data_Na3TlBr6
_cell_length_a 7.279
_cell_length_b 7.788
_cell_length_c 10.806
_cell_angle_alpha 90.00
_cell_angle_beta 89.05
_cell_angle_gamma 90.00
_symmetry_space_group_name_H-M 'P 1'
_symmetry_Int_Tables_number 1
_symmetry_space_group_name_Hall 'P 1'
loop_
_atom_site_label
_atom_site_type_symbol
_atom_site_fract_x
_atom_site_fract_y
_atom_site_fract_z
_atom_site_occupancy
Na1 Na 0.467 0.089 0.236 1
Na2 Na 0.967 0.411 0.736 1
Na3 Na 0.533 0.911 0.764 1
Na4 Na 0.033 0.589 0.264 1
Na5 Na 0.000 0.000 0.500 1
Na6 Na 0.500 0.500 0.000 1
Tl1 Tl 0.500 0.500 0.500 1
Tl2 Tl 0.000 0.000 0.000 1
Br1 Br 0.672 0.197 0.583 1
Br2 Br 0.812 0.681 0.566 1
Br3 Br 0.172 0.303 0.083 1
Br4 Br 0.351 0.566 0.737 1
Br5 Br 0.828 0.697 0.917 1
Br6 Br 0.649 0.434 0.263 1
Br7 Br 0.328 0.803 0.417 1
Br8 Br 0.312 0.819 0.066 1
Br9 Br 0.149 0.066 0.763 1
Br10 Br 0.688 0.181 0.934 1
Br11 Br 0.851 0.934 0.237 1
Br12 Br 0.188 0.319 0.434 1
# Electronic total energy, eV for the cell shown: -54.64
# Crystal system: monoclinic
# ΔE_f (raw), eV/atom: -1.096
# Symmetry: P2_1/c

(12)
# NaTl3Br9 | Alexandria via LeMat-Bulk | GGA-PBE | optimized geometry
data_NaTl3Br9
_cell_length_a 10.232
_cell_length_b 11.273
_cell_length_c 11.915
_cell_angle_alpha 77.13
_cell_angle_beta 64.57
_cell_angle_gamma 63.01
_symmetry_space_group_name_H-M 'P 1'
_symmetry_Int_Tables_number 1
_symmetry_space_group_name_Hall 'P 1'
loop_
_atom_site_label
_atom_site_type_symbol
_atom_site_fract_x
_atom_site_fract_y
_atom_site_fract_z
_atom_site_occupancy
Br1 Br 0.459 0.249 0.555 1
Br2 Br 0.354 0.835 0.458 1
Br3 Br 0.856 0.976 0.705 1
Br4 Br 0.463 0.476 0.205 1
Br5 Br 0.206 0.087 0.727 1
Br6 Br 0.269 0.921 0.062 1
Br7 Br 0.822 0.058 0.031 1
Br8 Br 0.836 0.426 0.881 1
Br9 Br 0.737 0.749 0.055 1
Br10 Br 0.980 0.587 0.227 1
Br11 Br 0.199 0.678 0.853 1
Br12 Br 0.857 0.926 0.381 1
Br13 Br 0.270 0.178 0.353 1
Br14 Br 0.088 0.558 0.531 1
Br15 Br 0.905 0.302 0.206 1
Br16 Br 0.749 0.421 0.562 1
Br17 Br 0.353 0.335 0.958 1
Br18 Br 0.588 0.802 0.706 1
Tl1 Tl 0.580 0.244 0.725 1
Tl2 Tl 0.452 0.744 0.225 1
Tl3 Tl 0.061 0.930 0.808 1
Tl4 Tl 0.202 0.430 0.308 1
Tl5 Tl 0.799 0.559 0.681 1
Tl6 Tl 0.962 0.059 0.181 1
Na1 Na 0.503 0.993 0.487 1
Na2 Na 0.017 0.493 0.987 1
# Electronic total energy, eV for the cell shown: -62.69
# Crystal system: monoclinic
# ΔE_f (raw), eV/atom: -0.605
# Symmetry: Cc